LaErSe3: optimized geometry, PBE.

Cell lengths 4.2038, 7.7955, 16.0772 Å; angles 90.00, 90.00, 90.00 degrees
Last column: nearest neighbours and their distance in Å.
Fractional positions:
La 0.7500 0.8599 0.8005  8 Se 2.99-3.32
La 0.2500 0.1401 0.1995  8 Se 2.99-3.32
La 0.7500 0.3599 0.6995  8 Se 2.99-3.32
La 0.2500 0.6401 0.3005  8 Se 2.99-3.32
Er 0.2500 0.2727 0.9570  7 Se 2.87-3.11
Er 0.2500 0.7727 0.5430  7 Se 2.87-3.11
Er 0.7500 0.2273 0.4570  7 Se 2.87-3.11
Er 0.7500 0.7273 0.0430  7 Se 2.87-3.11
Se 0.2500 0.3749 0.5595  3 Er 2.91-3.11, 2 La 3.08
Se 0.7500 0.8470 0.2146  1 Er 2.91, 4 La 2.99-3.11
Se 0.7500 0.4893 0.8962  3 Er 2.87-3.00
Se 0.7500 0.9893 0.6038  3 Er 2.87-3.00
Se 0.7500 0.6251 0.4405  3 Er 2.91-3.11, 2 La 3.08
Se 0.2500 0.0107 0.3962  3 Er 2.87-3.00
Se 0.2500 0.8749 0.9405  3 Er 2.91-3.11, 2 La 3.08
Se 0.7500 0.3470 0.2854  1 Er 2.91, 4 La 2.99-3.11
Se 0.2500 0.6530 0.7146  1 Er 2.91, 4 La 2.99-3.11
Se 0.2500 0.1530 0.7854  1 Er 2.91, 4 La 2.99-3.11
Se 0.7500 0.1251 0.0595  3 Er 2.91-3.11, 2 La 3.08
Se 0.2500 0.5107 0.1038  3 Er 2.87-3.00

Results
SG: Pnma, No. 62
Total magnetization: 0.000 μB/atom
Excess energy over the best structure of this formula in the dataset: 0 kJ/mol of formula units
Electronic total energy: -5.944 eV per atom